Entry 1:
DFT (GGA-PBE) results for a relaxed structure of Ba3NaTl8.

## Properties
Its crystal system is trigonal. The calculation puts the energy at -29.2 eV per cell. Its theoretical density is 8.39 g/cm³. As for the density of states at the Fermi level: 5.2 states/eV per cell.

Lattice parameters (Å, degrees): 6.560 6.560 11.621 73.61 73.61 60.00
Fractional coordinates of all 12 atoms:
Ba 0.376 0.376 0.871
Ba 0.994 0.994 0.017
Ba 0.504 0.504 0.489
Na 0.874 0.874 0.379
Tl 0.938 0.437 0.189
Tl 0.439 0.938 0.685
Tl 0.437 0.437 0.189
Tl 0.938 0.938 0.685
Tl 0.188 0.188 0.436
Tl 0.688 0.688 0.937
Tl 0.437 0.938 0.189
Tl 0.938 0.439 0.685

Entry 2:
DFT (GGA-PBE) results for a relaxed structure of Ba2NaTl3.

## Properties
Its crystal system is orthorhombic. The value obtained for the energy above the most stable polymorph in this dataset is 20 meV/atom. The calculation puts the energy at -27.9 eV per cell. Its theoretical density is 6.93 g/cm³. As for the density of states at the Fermi level: 10.3 states/eV per cell.

Lattice parameters (Å, degrees): 6.905 6.905 10.398 103.78 103.78 106.43
Fractional coordinates of all 12 atoms:
Ba 0.250 0.750 0.500
Ba 0.753 0.753 0.000
Ba 0.750 0.250 0.500
Ba 0.247 0.247 0.000
Na 0.667 0.667 0.334
Na 0.333 0.333 0.666
Tl 0.334 0.835 0.169
Tl 0.165 0.666 0.831
Tl 0.666 0.165 0.831
Tl 0.835 0.334 0.169
Tl 0.167 0.167 0.333
Tl 0.833 0.833 0.667

Entry 3:
DFT (GGA-PBE) results for a relaxed structure of BaNa3Tl.

## Properties
Its crystal system is monoclinic. The value obtained for the energy above the most stable polymorph in this dataset is 8 meV/atom. The calculation puts the energy at -34.7 eV per cell. Its theoretical density is 3.44 g/cm³. As for the density of states at the Fermi level: 11.8 states/eV per cell.

Lattice parameters (Å, degrees): 7.378 11.317 11.317 58.93 79.88 79.88
Fractional coordinates of all 20 atoms:
Ba 0.250 0.934 0.066
Ba 0.750 0.066 0.934
Ba 0.250 0.359 0.641
Ba 0.750 0.641 0.359
Na 0.594 0.656 0.989
Na 0.906 0.011 0.344
Na 0.406 0.344 0.011
Na 0.094 0.989 0.656
Na 0.925 0.337 0.009
Na 0.575 0.991 0.663
Na 0.075 0.663 0.991
Na 0.425 0.009 0.337
Na 0.406 0.685 0.686
Na 0.094 0.314 0.315
Na 0.594 0.315 0.314
Na 0.906 0.686 0.685
Tl 0.712 0.426 0.741
Tl 0.788 0.259 0.574
Tl 0.288 0.574 0.259
Tl 0.212 0.741 0.426

Entry 4:
DFT (GGA-PBE) results for a relaxed structure of Ba12Na5Tl2.

## Properties
Its crystal system is monoclinic. The calculation puts the energy at -35.3 eV per cell. Its theoretical density is 3.75 g/cm³. As for the density of states at the Fermi level: 23.7 states/eV per cell.

Lattice parameters (Å, degrees): 12.793 9.972 10.100 79.92 90.00 129.90
Fractional coordinates of all 19 atoms:
Ba 0.887 0.774 0.141
Ba 0.017 0.668 0.822
Ba 0.651 0.668 0.822
Ba 0.159 0.787 0.368
Ba 0.628 0.787 0.368
Ba 0.406 0.811 0.716
Ba 0.594 0.189 0.284
Ba 0.841 0.213 0.632
Ba 0.372 0.213 0.632
Ba 0.983 0.332 0.178
Ba 0.349 0.332 0.178
Ba 0.113 0.226 0.859
Na 0.238 0.475 0.467
Na 0.387 0.773 0.095
Na 0.000 0.000 0.500
Na 0.613 0.227 0.905
Na 0.762 0.525 0.533
Tl 0.736 0.000 0.000
Tl 0.264 0.000 0.000

Entry 5:
DFT (GGA-PBE) results for a relaxed structure of Ba4Na3Tl2.

## Properties
Its crystal system is trigonal. The calculation puts the energy at -17.9 eV per cell. Its theoretical density is 4.40 g/cm³. As for the density of states at the Fermi level: 8.9 states/eV per cell.

Lattice parameters (Å, degrees): 6.165 6.166 11.767 90.00 90.00 60.00
Fractional coordinates of all 9 atoms:
Ba 0.667 0.667 0.885
Ba 0.000 0.000 0.315
Ba 0.000 0.000 0.685
Ba 0.333 0.333 0.115
Na 0.333 0.333 0.511
Na 0.000 0.000 0.000
Na 0.667 0.667 0.489
Tl 0.333 0.333 0.799
Tl 0.667 0.667 0.201

Entry 6:
DFT (GGA-PBE) results for a relaxed structure of BaNaTl2.

## Properties
Its crystal system is tetragonal. The calculation puts the energy at -16.4 eV per cell. Its theoretical density is 5.89 g/cm³. As for the density of states at the Fermi level: 4.2 states/eV per cell.

Lattice parameters (Å, degrees): 5.459 5.459 11.446 76.21 76.21 90.00
Fractional coordinates of all 8 atoms:
Na 0.500 0.500 0.000
Na 0.250 0.750 0.500
Tl 0.505 0.125 0.250
Tl 0.245 0.625 0.250
Tl 0.375 0.495 0.750
Tl 0.875 0.755 0.750
Ba 0.000 0.000 0.000
Ba 0.750 0.250 0.500

Entry 7:
DFT (GGA-PBE) results for a relaxed structure of Ba6NaTl.

## Properties
Its crystal system is triclinic. The calculation puts the energy at -14.8 eV per cell. Its theoretical density is 3.46 g/cm³. As for the density of states at the Fermi level: 13.9 states/eV per cell.

Lattice parameters (Å, degrees): 8.548 8.584 9.336 62.71 62.95 60.04
Fractional coordinates of all 8 atoms:
Ba 0.052 0.427 0.766
Ba 0.754 0.050 0.766
Ba 0.574 0.246 0.233
Ba 0.246 0.950 0.234
Ba 0.948 0.573 0.234
Ba 0.426 0.754 0.767
Na 0.500 0.500 0.500
Tl 0.000 0.000 0.000

Entry 8:
DFT (GGA-PBE) results for a relaxed structure of BaNaTmTl.

## Properties
Its crystal system is cubic. The calculation puts the energy at -10.1 eV per cell. Its theoretical density is 6.50 g/cm³. As for the density of states at the Fermi level: 4.3 states/eV per cell.

Lattice parameters (Å, degrees): 5.777 5.777 5.777 60.00 60.00 60.00
Fractional coordinates of all 4 atoms:
Na 0.000 0.000 0.000
Tl 0.500 0.500 0.500
Tm 0.750 0.750 0.750
Ba 0.250 0.250 0.250

Entry 9:
DFT (GGA-PBE) results for a relaxed structure of BaNaTl2V.

## Properties
Its crystal system is tetragonal. The calculation puts the energy at -13.0 eV per cell. Its theoretical density is 6.18 g/cm³. As for the density of states at the Fermi level: 7.3 states/eV per cell.

Lattice parameters (Å, degrees): 5.544 5.422 5.544 90.00 90.00 90.00
Site moments in Bohr magnetons follow the coordinates.
Fractional coordinates of all 5 atoms:
Na 0.000 0.000 0.000  0.02
Tl 0.000 0.000 0.500  0.05
Tl 0.500 0.000 0.000  0.04
Ba 0.500 0.500 0.500  0.09
V 0.000 0.500 0.000  -0.85

Entry 10:
DFT (GGA-PBE) results for a relaxed structure of BaNaYTl.

## Properties
Its crystal system is cubic. The calculation puts the energy at -12.2 eV per cell. Its theoretical density is 5.44 g/cm³. As for the density of states at the Fermi level: 4.5 states/eV per cell.

Lattice parameters (Å, degrees): 5.805 5.805 5.805 60.00 60.00 60.00
Fractional coordinates of all 4 atoms:
Y 0.000 0.000 0.000
Na 0.750 0.750 0.750
Tl 0.250 0.250 0.250
Ba 0.500 0.500 0.500

Entry 11:
DFT (GGA-PBE) results for a relaxed structure of Ba4NaTl2Zn.

## Properties
Its crystal system is trigonal. The calculation puts the energy at -17.1 eV per cell. Its theoretical density is 5.48 g/cm³. As for the density of states at the Fermi level: 7.4 states/eV per cell.

Lattice parameters (Å, degrees): 6.069 6.069 10.546 73.28 73.28 60.00
Fractional coordinates of all 8 atoms:
Ba 0.382 0.382 0.853
Ba 0.868 0.868 0.395
Ba 0.132 0.132 0.605
Ba 0.618 0.618 0.147
Na 0.000 0.000 0.000
Tl 0.745 0.745 0.765
Tl 0.255 0.255 0.235
Zn 0.500 0.500 0.500

Entry 12:
DFT (GGA-PBE) results for a relaxed structure of Ba5Na2TlZn2.

## Properties
Its crystal system is tetragonal. The calculation puts the energy at -36.8 eV per cell. Its theoretical density is 4.02 g/cm³. As for the density of states at the Fermi level: 20.4 states/eV per cell.

Lattice parameters (Å, degrees): 4.278 14.355 14.355 90.00 90.00 90.00
Fractional coordinates of all 20 atoms:
Ba 0.500 0.199 0.060
Ba 0.500 0.801 0.940
Ba 0.500 0.060 0.801
Ba 0.500 0.699 0.440
Ba 0.500 0.940 0.199
Ba 0.500 0.301 0.560
Ba 0.500 0.560 0.699
Ba 0.500 0.440 0.301
Ba 0.500 0.500 0.000
Ba 0.500 0.000 0.500
Na 0.000 0.683 0.183
Na 0.000 0.317 0.817
Na 0.000 0.183 0.317
Na 0.000 0.817 0.683
Tl 0.000 0.000 0.000
Tl 0.000 0.500 0.500
Zn 0.000 0.132 0.632
Zn 0.000 0.868 0.368
Zn 0.000 0.632 0.868
Zn 0.000 0.368 0.132

| no. | formation energy from the elements (eV/atom) |
| --- | --- |
| 1 | -0.2668 |
| 2 | -0.2829 |
| 3 | -0.0882 |
| 4 | -0.0470 |
| 5 | -0.1654 |
| 6 | -0.0620 |
| 7 | 0.0564 |
| 8 | 0.0007 |
| 9 | 0.8267 |
| 10 | -0.0400 |
| 11 | -0.2583 |
| 12 | -0.1248 |